Pr2Y2CI4Cl | OQMD | PBE | relaxed; theoretical density = 5.39 Mg/m³; calculated volume = 31.3 Å³ per atom; space-group type = C2/m (12); energy above the lowest structure with this stoichiometry = 0.040 eV/atom
1.0
9.548 -1.981 0.000
9.548 1.981 0.000
-1.839 0.000 8.264
Pr Y C I Cl
2 2 1 4 1
Direct
0.136 0.136 0.069 Pr
0.864 0.864 0.931 Pr
0.499 0.499 0.199 Y
0.501 0.501 0.801 Y
0.000 0.000 0.000 C
0.334 0.334 0.200 I
0.340 0.340 0.638 I
0.660 0.660 0.362 I
0.666 0.666 0.800 I
0.000 0.000 0.500 Cl


TaAsPO | OQMD | PBE | relaxed; theoretical density = 6.82 Mg/m³; calculated volume = 18.4 Å³ per atom; space-group type = Pmc2_1 (26); energy above the lowest structure with this stoichiometry = 0.000 eV/atom
1.0
3.330 0.000 0.000
0.000 6.261 0.000
0.000 0.000 7.073
Ta As P O
2 2 2 2
Direct
0.000 0.049 0.000 Ta
0.000 0.951 0.500 Ta
0.500 0.293 0.588 As
0.500 0.707 0.088 As
0.500 0.327 0.914 P
0.500 0.673 0.414 P
0.000 0.120 0.261 O
0.000 0.880 0.761 O


ZrGa2Au | OQMD | PBE | relaxed; theoretical density = 9.94 Mg/m³; calculated volume = 17.9 Å³ per atom; total DFT energy (no corrections) = -5.001 eV/atom; space-group type = P4/mmm (123)
1.0
4.223 0.000 0.000
0.000 4.223 0.000
0.000 0.000 4.004
Zr Ga Au
1 2 1
Direct
0.000 0.000 0.000 Zr
0.000 0.500 0.500 Ga
0.500 0.000 0.500 Ga
0.500 0.500 0.000 Au


LaTmSn | OQMD | PBE | relaxed; theoretical density = 6.96 Mg/m³; calculated volume = 33.9 Å³ per atom; space-group type = F-43m (216); energy above the lowest structure with this stoichiometry = 0.000 eV/atom
1.0
0.000 3.705 3.705
3.705 0.000 3.705
3.705 3.705 0.000
La Tm Sn
1 1 1
Direct
0.000 0.000 0.000 La
0.500 0.500 0.500 Tm
0.250 0.250 0.250 Sn


> Among the records above, which one has the lowest calculated volume?

ZrGa2Au


What did the second record say?
TaAsPO | OQMD | PBE | relaxed; theoretical density = 6.82 Mg/m³; calculated volume = 18.4 Å³ per atom; space-group type = Pmc2_1 (26); energy above the lowest structure with this stoichiometry = 0.000 eV/atom
1.0
3.330 0.000 0.000
0.000 6.261 0.000
0.000 0.000 7.073
Ta As P O
2 2 2 2
Direct
0.000 0.049 0.000 Ta
0.000 0.951 0.500 Ta
0.500 0.293 0.588 As
0.500 0.707 0.088 As
0.500 0.327 0.914 P
0.500 0.673 0.414 P
0.000 0.120 0.261 O
0.000 0.880 0.761 O


Repeat the second record exactly.
TaAsPO | OQMD | PBE | relaxed; theoretical density = 6.82 Mg/m³; calculated volume = 18.4 Å³ per atom; space-group type = Pmc2_1 (26); energy above the lowest structure with this stoichiometry = 0.000 eV/atom
1.0
3.330 0.000 0.000
0.000 6.261 0.000
0.000 0.000 7.073
Ta As P O
2 2 2 2
Direct
0.000 0.049 0.000 Ta
0.000 0.951 0.500 Ta
0.500 0.293 0.588 As
0.500 0.707 0.088 As
0.500 0.327 0.914 P
0.500 0.673 0.414 P
0.000 0.120 0.261 O
0.000 0.880 0.761 O


Please write out number 2 again, unchanged.
TaAsPO | OQMD | PBE | relaxed; theoretical density = 6.82 Mg/m³; calculated volume = 18.4 Å³ per atom; space-group type = Pmc2_1 (26); energy above the lowest structure with this stoichiometry = 0.000 eV/atom
1.0
3.330 0.000 0.000
0.000 6.261 0.000
0.000 0.000 7.073
Ta As P O
2 2 2 2
Direct
0.000 0.049 0.000 Ta
0.000 0.951 0.500 Ta
0.500 0.293 0.588 As
0.500 0.707 0.088 As
0.500 0.327 0.914 P
0.500 0.673 0.414 P
0.000 0.120 0.261 O
0.000 0.880 0.761 O